[1]
{
  "formula": "TbHf2S",
  "functional": "PBE",
  "state": "relaxed",
  "total_magnetization_mub_per_fu": 0.6,
  "n_ef_per_ev_fu": 3.12,
  "e_tot_ev_per_atom": -7.455,
  "cell": [[1.7218, 0.9941, 9.2386], [-1.7218, 0.9941, 9.2386], [0.0000, -1.9882, 9.2386]],
  "species": ["Tb", "Hf", "Hf", "S"],
  "fractional_positions": [[0.0000, 0.0000, 0.0000], [0.1125, 0.1125, 0.1125], [0.8875, 0.8875, 0.8875], [0.5000, 0.5000, 0.5000]]
}

[2]
{
  "formula": "TbHfS2",
  "functional": "PBE",
  "state": "relaxed",
  "total_magnetization_mub_per_fu": 0.0,
  "n_ef_per_ev_fu": 1.51,
  "e_tot_ev_per_atom": -7.279,
  "cell": [[1.8932, 1.0930, 6.1532], [-1.8932, 1.0930, 6.1532], [0.0000, -2.1860, 6.1532]],
  "species": ["Tb", "Hf", "S", "S"],
  "fractional_positions": [[0.0000, 0.0000, 0.0000], [0.5000, 0.5000, 0.5000], [0.2434, 0.2434, 0.2434], [0.7566, 0.7566, 0.7566]]
}

[3]
{
  "formula": "TbHfS3",
  "functional": "PBE",
  "state": "relaxed",
  "total_magnetization_mub_per_fu": 0.0,
  "n_ef_per_ev_fu": 0.79,
  "e_tot_ev_per_atom": -7.114,
  "cell": [[6.5957, 0.0000, 0.0000], [-3.2979, 5.7121, 0.0000], [0.0000, 0.0000, 6.5191]],
  "species": ["Tb", "Tb", "Hf", "Hf", "S", "S", "S", "S", "S", "S"],
  "fractional_positions": [[0.0000, 0.0000, 0.0000], [0.0000, 0.0000, 0.5000], [0.6667, 0.3333, 0.0000], [0.6667, 0.3333, 0.5000], [0.3532, 0.0377, 0.2500], [0.3532, 0.3155, 0.7500], [0.6845, 0.0377, 0.7500], [0.6845, 0.6468, 0.2500], [0.9623, 0.3155, 0.2500], [0.9623, 0.6468, 0.7500]]
}

[4]
{
  "formula": "Tb2HfS5",
  "functional": "PBE",
  "state": "relaxed",
  "total_magnetization_mub_per_fu": 0.0,
  "n_ef_per_ev_fu": 0.00,
  "e_tot_ev_per_atom": -6.807,
  "cell": [[2.5956, -6.6056, 0.0000], [2.5956, 6.6056, 0.0000], [0.0000, 0.0000, 12.7755]],
  "species": ["Tb", "Tb", "Tb", "Tb", "Hf", "Hf", "S", "S", "S", "S", "S", "S", "S", "S", "S", "S"],
  "fractional_positions": [[0.1449, 0.8551, 0.5619], [0.1449, 0.8551, 0.9381], [0.8551, 0.1449, 0.0619], [0.8551, 0.1449, 0.4381], [0.1894, 0.8106, 0.2500], [0.8106, 0.1894, 0.7500], [0.0488, 0.9512, 0.1231], [0.0488, 0.9512, 0.3769], [0.2660, 0.7340, 0.7500], [0.3060, 0.6940, 0.0855], [0.3060, 0.6940, 0.4145], [0.6940, 0.3060, 0.5855], [0.6940, 0.3060, 0.9145], [0.7340, 0.2660, 0.2500], [0.9512, 0.0488, 0.6231], [0.9512, 0.0488, 0.8769]]
}

[5]
{
  "formula": "Tb2HfTl3S6",
  "functional": "PBE",
  "state": "relaxed",
  "total_magnetization_mub_per_fu": 0.0,
  "n_ef_per_ev_fu": 2.30,
  "e_tot_ev_per_atom": -5.604,
  "cell": [[3.3792, -5.8235, 0.0000], [3.3792, 5.8235, 0.0000], [-2.8149, 0.0000, 8.1335]],
  "species": ["Tb", "Tb", "Hf", "Tl", "Tl", "Tl", "S", "S", "S", "S", "S", "S"],
  "fractional_positions": [[0.1662, 0.8338, 0.0000], [0.8338, 0.1662, 0.0000], [0.5000, 0.5000, 0.0000], [0.1700, 0.8300, 0.5000], [0.5000, 0.5000, 0.5000], [0.8300, 0.1700, 0.5000], [0.1126, 0.1126, 0.8162], [0.2616, 0.5748, 0.1802], [0.4252, 0.7384, 0.8198], [0.5748, 0.2616, 0.1802], [0.7384, 0.4252, 0.8198], [0.8874, 0.8874, 0.1838]]
}

[6]
{
  "formula": "Tb3HfTl4S8",
  "functional": "PBE",
  "state": "relaxed",
  "total_magnetization_mub_per_fu": 0.0,
  "n_ef_per_ev_fu": 4.62,
  "e_tot_ev_per_atom": -5.517,
  "cell": [[3.9313, 2.2698, 7.8533], [-3.9313, 2.2698, 7.8533], [0.0000, -4.5395, 7.8533]],
  "species": ["Tb", "Tb", "Tb", "Hf", "Tl", "Tl", "Tl", "Tl", "S", "S", "S", "S", "S", "S", "S", "S"],
  "fractional_positions": [[0.0000, 0.5000, 0.5000], [0.5000, 0.0000, 0.5000], [0.5000, 0.5000, 0.0000], [0.0000, 0.0000, 0.0000], [0.0000, 0.0000, 0.5000], [0.0000, 0.5000, 0.0000], [0.5000, 0.0000, 0.0000], [0.5000, 0.5000, 0.5000], [0.2182, 0.2182, 0.7501], [0.2182, 0.7501, 0.2182], [0.2499, 0.7818, 0.7818], [0.2681, 0.2681, 0.2681], [0.7319, 0.7319, 0.7319], [0.7501, 0.2182, 0.2182], [0.7818, 0.2499, 0.7818], [0.7818, 0.7818, 0.2499]]
}

Repeat the third record exactly.
{
  "formula": "TbHfS3",
  "functional": "PBE",
  "state": "relaxed",
  "total_magnetization_mub_per_fu": 0.0,
  "n_ef_per_ev_fu": 0.79,
  "e_tot_ev_per_atom": -7.114,
  "cell": [[6.5957, 0.0000, 0.0000], [-3.2979, 5.7121, 0.0000], [0.0000, 0.0000, 6.5191]],
  "species": ["Tb", "Tb", "Hf", "Hf", "S", "S", "S", "S", "S", "S"],
  "fractional_positions": [[0.0000, 0.0000, 0.0000], [0.0000, 0.0000, 0.5000], [0.6667, 0.3333, 0.0000], [0.6667, 0.3333, 0.5000], [0.3532, 0.0377, 0.2500], [0.3532, 0.3155, 0.7500], [0.6845, 0.0377, 0.7500], [0.6845, 0.6468, 0.2500], [0.9623, 0.3155, 0.2500], [0.9623, 0.6468, 0.7500]]
}